(1)
DFT (PBE-GGA) results for an optimized crystal structure of La2GaCo2.

Cell: 7.1352 7.1352 4.0747 Å, 90.00 90.00 90.00°
Last column: nearest neighbours and their distance in Å.
Space group P4/mbm (No. 127)
Inequivalent atoms, fractional coordinates:
La1 0.1867 0.3133 0.0000 (multiplicity 4)  6 Co 2.87-3.00
Ga1 0.0000 0.0000 0.5000 (multiplicity 2)  4 Co 2.87
Co1 0.1135 0.6135 0.5000 (multiplicity 4)  1 Co 2.29

Summary:
ΔE_f   -0.232 eV/atom
Crystal system   tetragonal
Volume   20.74 Å³/atom
Total moment   0.338 μB per formula unit



(2)
DFT (PBE-GGA) results for an optimized crystal structure of LaGa2Co.

Cell: 6.7228 6.7228 6.7228 Å, 90.00 90.00 90.00°
Last column: nearest neighbours and their distance in Å.
Space group Fm-3m (No. 225)
Inequivalent atoms, fractional coordinates:
La1 0.0000 0.0000 0.0000 (multiplicity 4)  8 Ga 2.91
Ga1 0.2500 0.2500 0.2500 (multiplicity 8)  4 La 2.91, 4 Co 2.91
Co1 0.0000 0.0000 0.5000 (multiplicity 4)  8 Ga 2.91

Summary:
ΔE_f   -0.164 eV/atom
Crystal system   cubic
Volume   18.99 Å³/atom
Total moment   0.024 μB per formula unit



(3)
DFT (PBE-GGA) results for an optimized crystal structure of LaGa4Co9.

Cell: 7.9983 7.9983 11.7659 Å, 90.00 90.00 90.00°
Last column: nearest neighbours and their distance in Å.
Space group I4/mcm (No. 140)
Inequivalent atoms, fractional coordinates:
La1 0.0000 0.0000 0.2500 (multiplicity 4)  8 Ga 3.28, 16 Co 3.34-3.38
Ga1 0.1798 0.3202 0.1254 (multiplicity 16)  9 Co 2.41-2.62
Co1 0.0000 0.5000 0.0000 (multiplicity 4)  8 Co 2.42-2.46, 4 Ga 2.51
Co2 0.0613 0.1987 0.5000 (multiplicity 16)  5 Co 2.35-2.58, 4 Ga 2.55-2.62
Co3 0.1130 0.3870 0.3256 (multiplicity 16)  4 Ga 2.41-2.47, 6 Co 2.42-2.58

Summary:
ΔE_f   -0.241 eV/atom
Crystal system   tetragonal
Volume   13.44 Å³/atom
Total moment   8.189 μB per formula unit



(4)
DFT (PBE-GGA) results for an optimized crystal structure of La4GaCo2.

Cell: 4.8929 4.8929 26.4511 Å, 90.00 90.00 120.00°
Last column: nearest neighbours and their distance in Å.
Space group R-3m (No. 166, hexagonal axes)
Inequivalent atoms, fractional coordinates:
La1 0.0000 0.0000 0.1145 (multiplicity 6)  3 Co 3.02, 3 Ga 3.14
La2 0.0000 0.0000 0.2923 (multiplicity 6)  4 Co 2.96-3.04
Ga1 0.0000 0.0000 0.5000 (multiplicity 3)  2 Co 2.46
Co1 0.0000 0.0000 0.4072 (multiplicity 6)  1 Ga 2.46

Summary:
ΔE_f   -0.164 eV/atom
Crystal system   trigonal
Volume   26.12 Å³/atom
Total moment   0.000 μB per formula unit



(5)
DFT (PBE-GGA) results for an optimized crystal structure of La2GaCo2.

Cell: 3.4734 3.4734 18.0094 Å, 90.00 90.00 90.00°
Last column: nearest neighbours and their distance in Å.
Space group I4/mmm (No. 139)
Inequivalent atoms, fractional coordinates:
La1 0.0000 0.0000 0.1227 (multiplicity 4)  4 Co 2.88
Ga1 0.0000 0.0000 0.5000 (multiplicity 2)  8 La 3.30, 4 Ga 3.47
Co1 0.0000 0.5000 0.2500 (multiplicity 4)  4 Co 2.46

Summary:
ΔE_f   0.006 eV/atom
Crystal system   tetragonal
Volume   21.73 Å³/atom
Total moment   0.000 μB per formula unit



(6)
DFT (PBE-GGA) results for an optimized crystal structure of La2Ga3Co.

Cell: 8.0792 8.8725 15.1730 Å, 90.00 90.00 90.00°
Last column: nearest neighbours and their distance in Å.
Space group Fmmm (No. 69)
Inequivalent atoms, fractional coordinates:
La1 0.2395 0.0000 0.0000 (multiplicity 8)  2 Co 3.14, 10 Ga 3.18-3.38
La2 0.2500 0.2500 0.2500 (multiplicity 8)  8 Ga 3.20-3.21, 4 Co 3.28
Ga1 0.0000 0.0000 0.3260 (multiplicity 8)  1 Co 2.47, 2 Ga 2.63
Ga2 0.0000 0.2437 0.0864 (multiplicity 16)  1 Co 2.45, 2 Ga 2.62-2.63
Co1 0.0000 0.0000 0.1629 (multiplicity 8)  3 Ga 2.45-2.47

Summary:
ΔE_f   -0.501 eV/atom
Crystal system   orthorhombic
Volume   22.66 Å³/atom
Total moment   0.496 μB per formula unit



(7)
DFT (PBE-GGA) results for an optimized crystal structure of LiLa2GaCo.

Cell: 5.4261 5.4261 4.8185 Å, 90.00 90.00 90.00°
Last column: nearest neighbours and their distance in Å.
Space group P4/mmm (No. 123)
Inequivalent atoms, fractional coordinates:
Li1 0.0000 0.0000 0.0000 (multiplicity 1)  8 La 3.63, 4 Ga 3.84
La1 0.0000 0.5000 0.5000 (multiplicity 2)  2 Co 2.71
Ga1 0.5000 0.5000 0.0000 (multiplicity 1)  2 Co 2.41
Co1 0.5000 0.5000 0.5000 (multiplicity 1)  2 Ga 2.41

Summary:
E above lowest polymorph   0 meV/atom
ΔE_f   -0.197 eV/atom
Crystal system   tetragonal
Volume   28.37 Å³/atom
Total moment   0.001 μB per formula unit



(8)
DFT (PBE-GGA) results for an optimized crystal structure of LiLa2GaCo.

Cell: 5.1876 5.1876 4.7113 Å, 90.00 90.00 90.00°
Last column: nearest neighbours and their distance in Å.
Space group P4/mmm (No. 123)
Inequivalent atoms, fractional coordinates:
Li1 0.0000 0.0000 0.0000 (multiplicity 1)  2 Co 2.36
La1 0.0000 0.5000 0.5000 (multiplicity 2)  2 Co 2.59
Ga1 0.5000 0.5000 0.0000 (multiplicity 1)  8 La 3.50, 4 Li 3.67
Co1 0.0000 0.0000 0.5000 (multiplicity 1)  2 Li 2.36, 4 La 2.59

Summary:
E above lowest polymorph   109 meV/atom
ΔE_f   -0.088 eV/atom
Crystal system   tetragonal
Volume   25.36 Å³/atom
Total moment   0.000 μB per formula unit



(9)
DFT (PBE-GGA) results for an optimized crystal structure of LiLa2Ga6Co.

Cell: 6.5547 6.5732 9.2928 Å, 90.00 90.00 90.00°
Last column: nearest neighbours and their distance in Å.
Space group Immm (No. 71)
Inequivalent atoms, fractional coordinates:
Li1 0.0000 0.0000 0.0000 (multiplicity 2)  6 Ga 2.30
La1 0.0000 0.5000 0.2498 (multiplicity 4)  12 Ga 3.28-3.29
Ga1 0.0000 0.0000 0.2480 (multiplicity 4)  1 Li 2.30, 1 Co 2.34
Ga2 0.2482 0.2479 0.0000 (multiplicity 8)  1 Li 2.30, 1 Co 2.34
Co1 0.0000 0.0000 0.5000 (multiplicity 2)  6 Ga 2.34

Summary:
ΔE_f   -0.352 eV/atom
Crystal system   orthorhombic
Volume   20.02 Å³/atom
Total moment   0.000 μB per formula unit



(10)
DFT (PBE-GGA) results for an optimized crystal structure of LiLaGaCo.

Cell: 6.5784 6.5784 6.5784 Å, 90.00 90.00 90.00°
Last column: nearest neighbours and their distance in Å.
Space group F-43m (No. 216)
Inequivalent atoms, fractional coordinates:
Li1 0.0000 0.0000 0.0000 (multiplicity 4)  4 La 2.85, 4 Ga 2.85
La1 0.2500 0.2500 0.7500 (multiplicity 4)  4 Co 2.85, 4 Li 2.85
Ga1 0.2500 0.2500 0.2500 (multiplicity 4)  4 Li 2.85, 4 Co 2.85
Co1 0.0000 0.0000 0.5000 (multiplicity 4)  4 Ga 2.85, 4 La 2.85

Summary:
ΔE_f   -0.157 eV/atom
Crystal system   cubic
Volume   17.79 Å³/atom
Total moment   0.002 μB per formula unit



(11)
DFT (PBE-GGA) results for an optimized crystal structure of LaLuGaCo.

Cell: 7.0786 7.0786 7.0786 Å, 90.00 90.00 90.00°
Last column: nearest neighbours and their distance in Å.
Space group F-43m (No. 216)
Inequivalent atoms, fractional coordinates:
La1 0.0000 0.0000 0.0000 (multiplicity 4)  4 Co 3.07, 4 Ga 3.07
Lu1 0.0000 0.0000 0.5000 (multiplicity 4)  4 Co 3.07, 4 Ga 3.07
Ga1 0.2500 0.2500 0.2500 (multiplicity 4)  4 La 3.07, 4 Lu 3.07
Co1 0.2500 0.2500 0.7500 (multiplicity 4)  4 La 3.07, 4 Lu 3.07

Summary:
ΔE_f   -0.254 eV/atom
Crystal system   cubic
Volume   22.17 Å³/atom
Total moment   0.967 μB per formula unit



(12)
DFT (PBE-GGA) results for an optimized crystal structure of La2MgGaCo.

Cell: 5.1760 5.1760 4.9658 Å, 90.00 90.00 90.00°
Last column: nearest neighbours and their distance in Å.
Space group P4/mmm (No. 123)
Inequivalent atoms, fractional coordinates:
La1 0.0000 0.5000 0.0000 (multiplicity 2)  2 Co 2.59
Mg1 0.0000 0.0000 0.5000 (multiplicity 1)  2 Co 2.48
Ga1 0.5000 0.5000 0.5000 (multiplicity 1)  8 La 3.59, 4 Mg 3.66
Co1 0.0000 0.0000 0.0000 (multiplicity 1)  2 Mg 2.48, 4 La 2.59

Summary:
E above lowest polymorph   57 meV/atom
ΔE_f   -0.187 eV/atom
Crystal system   tetragonal
Volume   26.61 Å³/atom
Total moment   0.000 μB per formula unit



(13)
DFT (PBE-GGA) results for an optimized crystal structure of La2MgGaCo.

Cell: 5.3250 5.3250 4.6924 Å, 90.00 90.00 90.00°
Last column: nearest neighbours and their distance in Å.
Space group P4/mmm (No. 123)
Inequivalent atoms, fractional coordinates:
La1 0.0000 0.5000 0.0000 (multiplicity 2)  2 Co 2.66
Mg1 0.0000 0.0000 0.5000 (multiplicity 1)  8 La 3.55, 4 Ga 3.77
Ga1 0.5000 0.5000 0.5000 (multiplicity 1)  2 Co 2.35
Co1 0.5000 0.5000 0.0000 (multiplicity 1)  2 Ga 2.35

Summary:
E above lowest polymorph   0 meV/atom
ΔE_f   -0.244 eV/atom
Crystal system   tetragonal
Volume   26.61 Å³/atom
Total moment   0.000 μB per formula unit



(14)
DFT (PBE-GGA) results for an optimized crystal structure of LaMgGa2Co.

Cell: 4.6257 4.6257 4.7395 Å, 90.00 90.00 90.00°
Last column: nearest neighbours and their distance in Å.
Space group P4/mmm (No. 123)
Inequivalent atoms, fractional coordinates:
La1 0.0000 0.0000 0.0000 (multiplicity 1)  4 Mg 3.27, 8 Ga 3.31
Mg1 0.5000 0.5000 0.0000 (multiplicity 1)  2 Co 2.37
Ga1 0.0000 0.5000 0.5000 (multiplicity 2)  2 Co 2.31
Co1 0.5000 0.5000 0.5000 (multiplicity 1)  4 Ga 2.31, 2 Mg 2.37

Summary:
ΔE_f   -0.384 eV/atom
Crystal system   tetragonal
Volume   20.28 Å³/atom
Total moment   0.000 μB per formula unit



(15)
DFT (PBE-GGA) results for an optimized crystal structure of LaMg2GaCo.

Cell: 4.8139 4.8139 4.6555 Å, 90.00 90.00 90.00°
Last column: nearest neighbours and their distance in Å.
Space group P4/mmm (No. 123)
Inequivalent atoms, fractional coordinates:
La1 0.0000 0.0000 0.0000 (multiplicity 1)  8 Mg 3.35, 4 Ga 3.40
Mg1 0.0000 0.5000 0.5000 (multiplicity 2)  2 Co 2.41
Ga1 0.5000 0.5000 0.0000 (multiplicity 1)  2 Co 2.33
Co1 0.5000 0.5000 0.5000 (multiplicity 1)  2 Ga 2.33, 4 Mg 2.41

Summary:
ΔE_f   -0.197 eV/atom
Crystal system   tetragonal
Volume   21.58 Å³/atom
Total moment   0.219 μB per formula unit



(16)
DFT (PBE-GGA) results for an optimized crystal structure of LaGaCo2Mo.

Cell: 4.3836 4.3836 5.3861 Å, 90.00 90.00 90.00°
Last column: nearest neighbours and their distance in Å.
Space group P4/mmm (No. 123)
Inequivalent atoms, fractional coordinates:
La1 0.0000 0.0000 0.0000 (multiplicity 1)  2 Ga 2.69
Ga1 0.0000 0.0000 0.5000 (multiplicity 1)  4 Co 2.19
Co1 0.0000 0.5000 0.5000 (multiplicity 2)  2 Ga 2.19
Mo1 0.5000 0.5000 0.0000 (multiplicity 1)  4 La 3.10

Summary:
ΔE_f   1.170 eV/atom
Crystal system   tetragonal
Volume   20.70 Å³/atom
Total moment   4.074 μB per formula unit



(17)
DFT (PBE-GGA) results for an optimized crystal structure of LaGaCoN.

Cell: 3.9262 3.9262 8.5344 Å, 90.00 90.00 90.00°
Last column: nearest neighbours and their distance in Å.
Space group P4/nmm (No. 129, origin choice 2)
Inequivalent atoms, fractional coordinates:
La1 0.2500 0.2500 0.1551 (multiplicity 2)  1 N 2.40
Ga1 0.2500 0.7500 0.5000 (multiplicity 2)  4 Co 2.42
Co1 0.2500 0.2500 0.6665 (multiplicity 2)  1 N 1.77
N1 0.2500 0.2500 0.8743 (multiplicity 2)  1 Co 1.77

Summary:
Crystal system   tetragonal
Formation energy without anion corrections   -0.786 eV per atom
Volume   16.44 Å³/atom
Total moment   0.000 μB per formula unit



(18)
DFT (PBE-GGA) results for an optimized crystal structure of La3Ga2Co2N3.

Cell: 3.8648 3.8648 22.6788 Å, 90.00 90.00 90.00°
Last column: nearest neighbours and their distance in Å.
Space group I4/mmm (No. 139)
Inequivalent atoms, fractional coordinates:
La1 0.0000 0.0000 0.0000 (multiplicity 2)  6 N 2.45-2.73
La2 0.0000 0.0000 0.3863 (multiplicity 4)  5 N 2.58-2.74
Ga1 0.0000 0.5000 0.2500 (multiplicity 4)  4 Co 2.41
Co1 0.0000 0.0000 0.1864 (multiplicity 4)  1 N 1.77
N1 0.0000 0.0000 0.1081 (multiplicity 4)  1 Co 1.77
N2 0.0000 0.0000 0.5000 (multiplicity 2)  6 La 2.58-2.73

Summary:
Crystal system   tetragonal
Formation energy without anion corrections   -0.875 eV per atom
Volume   16.94 Å³/atom
Total moment   0.000 μB per formula unit



(19)
DFT (PBE-GGA) results for an optimized crystal structure of La2Ga2Co2N.

Cell: 10.9095 4.1134 7.1277 Å, 90.00 124.75 90.00°
Last column: nearest neighbours and their distance in Å.
Space group C2/m (No. 12)
Inequivalent atoms, fractional coordinates:
La1 0.0566 0.0000 0.3118 (multiplicity 4)  2 N 2.71
Ga1 0.1872 0.5000 0.0925 (multiplicity 4)  3 Co 2.39-2.51
Co1 0.1846 0.5000 0.7381 (multiplicity 4)  1 N 1.74
N1 0.0000 0.5000 0.5000 (multiplicity 2)  2 Co 1.74

Summary:
Crystal system   monoclinic
Formation energy without anion corrections   -0.632 eV per atom
Volume   18.77 Å³/atom
Total moment   0.001 μB per formula unit



(20)
DFT (PBE-GGA) results for an optimized crystal structure of NaLa2GaCo.

Cell: 5.4040 5.4040 4.7836 Å, 90.00 90.00 90.00°
Last column: nearest neighbours and their distance in Å.
Space group P4/mmm (No. 123)
Inequivalent atoms, fractional coordinates:
Na1 0.0000 0.0000 0.0000 (multiplicity 1)  8 La 3.61, 4 Ga 3.82
La1 0.0000 0.5000 0.5000 (multiplicity 2)  2 Co 2.70
Ga1 0.5000 0.5000 0.0000 (multiplicity 1)  2 Co 2.39
Co1 0.5000 0.5000 0.5000 (multiplicity 1)  2 Ga 2.39

Summary:
ΔE_f   -0.180 eV/atom
Crystal system   tetragonal
Volume   27.94 Å³/atom
Total moment   0.000 μB per formula unit



(21)
DFT (PBE-GGA) results for an optimized crystal structure of La2Ga3CoNi12.

Cell: 6.1501 6.1501 25.0880 Å, 90.00 90.00 120.00°
Last column: nearest neighbours and their distance in Å.
Space group R-3m (No. 166, hexagonal axes)
Inequivalent atoms, fractional coordinates:
La1 0.0000 0.0000 0.1580 (multiplicity 6)  6 Ni 2.90-3.05
Ga1 0.0000 0.5000 0.0000 (multiplicity 9)  6 Ni 2.36-2.42
Co1 0.0000 0.0000 0.5000 (multiplicity 3)  6 Ni 2.30
Ni1 0.0604 0.5302 0.0958 (multiplicity 18)  1 Co 2.30, 4 Ni 2.42-2.52, 1 Ga 2.42
Ni2 0.0725 0.5362 0.6168 (multiplicity 18)  2 Ga 2.36, 4 Ni 2.41-2.42

Summary:
ΔE_f   0.018 eV/atom
Crystal system   trigonal
Volume   15.22 Å³/atom
Total moment   2.801 μB per formula unit



(22)
DFT (PBE-GGA) results for an optimized crystal structure of La2GaCo3Ni12.

Cell: 8.3455 8.3455 12.1345 Å, 90.00 90.00 120.00°
Last column: nearest neighbours and their distance in Å.
Space group R-3m (No. 166, hexagonal axes)
Inequivalent atoms, fractional coordinates:
La1 0.0000 0.0000 0.2290 (multiplicity 6)  3 Co 2.72, 9 Ni 2.80-2.87
Ga1 0.0000 0.0000 0.5000 (multiplicity 3)  6 Ni 2.31
Co1 0.0000 0.5000 0.0000 (multiplicity 9)  10 Ni 2.55-2.77, 2 La 2.72
Ni1 0.0215 0.5108 0.2101 (multiplicity 18)  1 Ga 2.31, 5 Ni 2.32-2.49, 1 Co 2.55
Ni2 0.0486 0.5243 0.6031 (multiplicity 18)  6 Ni 2.32-2.60

Summary:
ΔE_f   0.066 eV/atom
Crystal system   trigonal
Volume   13.55 Å³/atom
Total moment   7.630 μB per formula unit



(23)
DFT (PBE-GGA) results for an optimized crystal structure of LaGa3CoNi.

Cell: 6.7118 10.6736 6.3648 Å, 90.00 90.00 90.00°
Last column: nearest neighbours and their distance in Å.
Space group Cmcm (No. 63)
Inequivalent atoms, fractional coordinates:
La1 0.0000 0.2462 0.2500 (multiplicity 4)  1 Co 3.03, 1 Ni 3.16, 4 Ga 3.18-3.36
Ga1 0.0000 0.2464 0.7500 (multiplicity 4)  1 Co 2.23, 1 Ni 2.25
Ga2 0.2492 0.5000 0.0000 (multiplicity 8)  2 Co 2.35, 2 Ni 2.35
Co1 0.0000 0.0372 0.7500 (multiplicity 4)  5 Ga 2.23-2.35
Ni1 0.0000 0.4574 0.7500 (multiplicity 4)  5 Ga 2.25-2.35

Summary:
ΔE_f   -0.349 eV/atom
Crystal system   orthorhombic
Volume   19.00 Å³/atom
Total moment   0.001 μB per formula unit



(24)
DFT (PBE-GGA) results for an optimized crystal structure of La2Ga6CoNi.

Cell: 9.2663 9.2663 9.2663 Å, 90.00 90.00 90.00°
Last column: nearest neighbours and their distance in Å.
Space group Fm-3m (No. 225)
Inequivalent atoms, fractional coordinates:
La1 0.2500 0.2500 0.2500 (multiplicity 8)  12 Ga 3.28
Ga1 0.0000 0.0000 0.2497 (multiplicity 24)  1 Co 2.31, 1 Ni 2.32
Co1 0.0000 0.0000 0.0000 (multiplicity 4)  6 Ga 2.31
Ni1 0.0000 0.0000 0.5000 (multiplicity 4)  6 Ga 2.32

Summary:
ΔE_f   -0.440 eV/atom
Crystal system   cubic
Volume   19.89 Å³/atom
Total moment   0.000 μB per formula unit